(1)
Computed, not measured: crystalline KLi2Ta at its relaxed geometry at the PBE level of DFT.

```
data_KLi2Ta
_symmetry_space_group_name_H-M 'P 1 2/m 1'
_symmetry_Int_Tables_number 10
_symmetry_space_group_name_Hall '-P 2y'
_cell_length_a 2.746
_cell_length_b 4.623
_cell_length_c 7.671
_cell_angle_alpha 90.00
_cell_angle_beta 91.30
_cell_angle_gamma 90.00
loop_
_atom_site_label
_atom_site_type_symbol
_atom_site_fract_x
_atom_site_fract_y
_atom_site_fract_z
_atom_site_occupancy
K1 K 0.000 0.000 0.000 1
Li1 Li 0.490 0.500 0.329 1
Ta1 Ta 0.000 0.000 0.500 1
```

Results
**Total energy**: -13.93 eV for the cell shown
**Spin magnetization**: 0.000 μB/cell
**DOS at the Fermi energy**: 2.7 states/eV/f.u.



(2)
Computed, not measured: crystalline Ca2InW at its relaxed geometry at the PBE level of DFT.

```
data_Ca2InW
_symmetry_space_group_name_H-M 'C m m 2'
_symmetry_Int_Tables_number 35
_symmetry_space_group_name_Hall 'C 2 -2'
_cell_length_a 4.155
_cell_length_b 4.637
_cell_length_c 10.331
_cell_angle_alpha 90.00
_cell_angle_beta 90.00
_cell_angle_gamma 90.00
loop_
_atom_site_label
_atom_site_type_symbol
_atom_site_fract_x
_atom_site_fract_y
_atom_site_fract_z
_atom_site_occupancy
Ca1 Ca 0.000 0.000 0.000 1
Ca2 Ca 0.000 0.500 0.326 1
In1 In 0.000 0.500 0.757 1
W1 W 0.000 0.000 0.556 1
```

Results
**Total energy**: -35.43 eV for the cell shown
**Spin magnetization**: 0.000 μB/cell
**DOS at the Fermi energy**: 3.0 states/eV/f.u.



(3)
Computed, not measured: crystalline CaZn2Cl at its relaxed geometry at the PBE level of DFT.

```
data_CaZn2Cl
_symmetry_space_group_name_H-M 'P m m m'
_symmetry_Int_Tables_number 47
_symmetry_space_group_name_Hall '-P 2 2'
_cell_length_a 3.662
_cell_length_b 4.128
_cell_length_c 6.091
_cell_angle_alpha 90.00
_cell_angle_beta 90.00
_cell_angle_gamma 90.00
loop_
_atom_site_label
_atom_site_type_symbol
_atom_site_fract_x
_atom_site_fract_y
_atom_site_fract_z
_atom_site_occupancy
Ca1 Ca 0.000 0.000 0.000 1
Zn1 Zn 0.000 0.500 0.500 1
Zn2 Zn 0.500 0.000 0.500 1
Cl1 Cl 0.500 0.500 0.000 1
```

Results
**Raw formation energy**: -2.50 eV per formula unit
**Spin magnetization**: 0.000 μB/cell
**DOS at the Fermi energy**: 1.6 states/eV/f.u.



(4)
Computed, not measured: crystalline Pr2InP3Rh12 at its relaxed geometry at the PBE level of DFT.

```
data_Pr2InP3Rh12
_symmetry_space_group_name_H-M 'R -3 m'
_symmetry_Int_Tables_number 166
_symmetry_space_group_name_Hall '-R 3 2"'
_cell_length_a 8.4784
_cell_length_b 8.4784
_cell_length_c 15.6563
_cell_angle_alpha 90.00
_cell_angle_beta 90.00
_cell_angle_gamma 120.00
loop_
_atom_site_label
_atom_site_type_symbol
_atom_site_fract_x
_atom_site_fract_y
_atom_site_fract_z
_atom_site_occupancy
Pr1 Pr 0.0000 0.0000 0.1029 1
In1 In 0.0000 0.0000 0.5000 1
P1 P 0.0000 0.5000 0.0000 1
Rh1 Rh 0.0144 0.5072 0.8593 1
Rh2 Rh 0.0546 0.5273 0.3565 1
```

Results
**Total energy**: -361.72 eV for the cell shown
**Spin magnetization**: 0.000 μB/cell
**DOS at the Fermi energy**: 14.1 states/eV/f.u.